# 1
The following is a DFT calculation (PBE) of a relaxed structure of MgIn2Pt.

It has space group R-3m (No. 166, hexagonal axes), with a = 3.4410 Å, b = 3.4410 Å, c = 25.9535 Å, α = 90.00°, β = 90.00° and γ = 120.00°. The inequivalent atoms are Mg at (0.0000, 0.0000, 0.0000), In at (0.0000, 0.0000, 0.2403) and Pt at (0.0000, 0.0000, 0.5000).

The total energy is -3.459 eV per atom. For the density of states at the Fermi level, the calculation gives 6.51 states/eV/cell.

=====

# 2
The following is a DFT calculation (PBE) of a relaxed structure of Mg6In3Pt.

It has space group Pnnm (No. 58), with a = 8.7086 Å, b = 11.2975 Å, c = 4.5982 Å, α = 90.00°, β = 90.00° and γ = 90.00°. The inequivalent atoms are Mg at (0.0352, 0.2335, 0.0000), Mg at (0.1501, 0.0611, 0.5000), Mg at (0.2213, 0.3853, 0.5000), In at (0.0000, 0.5000, 0.0000), In at (0.1419, 0.6736, 0.5000) and Pt at (0.0000, 0.0000, 0.0000).

The total energy is -2.623 eV per atom. For the density of states at the Fermi level, the calculation gives 7.37 states/eV/cell.

=====

# 3
The following is a DFT calculation (PBE) of a relaxed structure of MgIn2Pt.

It has space group Pmmm (No. 47), with a = 3.5723 Å, b = 3.8664 Å, c = 5.8603 Å, α = 90.00°, β = 90.00° and γ = 90.00°. The inequivalent atoms are Mg at (0.0000, 0.0000, 0.0000), In at (0.5000, 0.5000, 0.2619) and Pt at (0.0000, 0.0000, 0.5000).

The total energy is -3.511 eV per atom. For the density of states at the Fermi level, the calculation gives 1.19 states/eV/cell.

=====

# 4
The following is a DFT calculation (PBE) of a relaxed structure of MgInPt2.

It has space group Cm (No. 8), with a = 9.9839 Å, b = 3.0089 Å, c = 4.7560 Å, α = 90.00°, β = 102.97° and γ = 90.00°. The inequivalent atoms are Mg at (0.0000, 0.0000, 0.0000), In at (0.2785, 0.5000, 0.3704), Pt at (0.0212, 0.5000, 0.5128) and Pt at (0.2571, 0.0000, 0.8644).

The total energy is -4.692 eV per atom. For the density of states at the Fermi level, the calculation gives 2.13 states/eV/cell.

=====

What did the first record say?
The following is a DFT calculation (PBE) of a relaxed structure of MgIn2Pt.

It has space group R-3m (No. 166, hexagonal axes), with a = 3.4410 Å, b = 3.4410 Å, c = 25.9535 Å, α = 90.00°, β = 90.00° and γ = 120.00°. The inequivalent atoms are Mg at (0.0000, 0.0000, 0.0000), In at (0.0000, 0.0000, 0.2403) and Pt at (0.0000, 0.0000, 0.5000).

The total energy is -3.459 eV per atom. For the density of states at the Fermi level, the calculation gives 6.51 states/eV/cell.

=====

Number 1 is which compound? MgIn2Pt

=====

What is the total energy in the first record? -3.459 eV per atom